## CoC3 (PBE-GGA)

Data for a relaxed structure of CoC3.

Properties
**E_tot**: -5.759 eV per atom
**Formation energy from the elements**: 2.935 eV/atom
**M_tot**: 0.00 Bohr magnetons per cell
**Space-group type**: Pm-3m (221)

Cell and atoms, written as CIF:
```
data_CoC3
_symmetry_space_group_name_H-M 'P 1'
_symmetry_Int_Tables_number 1
_cell_length_a 3.1187
_cell_length_b 3.1187
_cell_length_c 3.1187
_cell_angle_alpha 90.00
_cell_angle_beta 90.00
_cell_angle_gamma 90.00
loop_
_symmetry_equiv_pos_as_xyz
'x,y,z'
loop_
_atom_site_label
_atom_site_type_symbol
_atom_site_fract_x
_atom_site_fract_y
_atom_site_fract_z
C1 C 0.0000 0.5000 0.5000
Co1 Co 0.0000 0.0000 0.0000
C2 C 0.5000 0.0000 0.5000
C3 C 0.5000 0.5000 0.0000
```


## Pr3TmSn3 (PBE-GGA)

Data for a relaxed structure of Pr3TmSn3.

Properties
**E_tot**: -4.862 eV per atom
**Formation energy from the elements**: -0.459 eV/atom
**M_tot**: 0.00 Bohr magnetons per cell
**Space-group type**: C2/m (12)

Cell and atoms, written as CIF:
```
data_Pr3TmSn3
_symmetry_space_group_name_H-M 'P 1'
_symmetry_Int_Tables_number 1
_cell_length_a 8.0222
_cell_length_b 8.0222
_cell_length_c 7.9469
_cell_angle_alpha 90.08
_cell_angle_beta 90.08
_cell_angle_gamma 113.40
loop_
_symmetry_equiv_pos_as_xyz
'x,y,z'
loop_
_atom_site_label
_atom_site_type_symbol
_atom_site_fract_x
_atom_site_fract_y
_atom_site_fract_z
Pr1 Pr 0.7750 0.2250 0.0000
Pr2 Pr 0.6302 0.6302 0.3584
Pr3 Pr 0.8462 0.1538 0.5000
Sn1 Sn 0.9483 0.9483 0.1868
Pr4 Pr 0.1538 0.8462 0.5000
Pr5 Pr 0.2250 0.7750 0.0000
Pr6 Pr 0.3698 0.3698 0.6416
Sn2 Sn 0.4970 0.8440 0.6865
Sn3 Sn 0.1560 0.5030 0.3135
Sn4 Sn 0.8440 0.4970 0.6865
Sn5 Sn 0.5030 0.1560 0.3135
Tm1 Tm 0.2901 0.2901 0.0942
Tm2 Tm 0.7099 0.7099 0.9058
Sn6 Sn 0.0517 0.0517 0.8132
```